Below is crystalline PaCoO3 at its relaxed geometry, with properties calculated at the PBE+U level.

Values from the calculation:
The symmetry is Pm-3m, No. 221. For the total energy, the calculation gives -37.1 eV per cell.

Cell: 3.770 3.770 3.770 Å, 90.00 90.00 90.00°
Site moments in Bohr magnetons follow the coordinates.
Fractional coordinates of all 5 atoms:
O 0.500 0.500 0.000  -0.03
O 0.000 0.500 0.500  -0.09
O 0.500 0.000 0.500  -0.06
Co 0.500 0.500 0.500  0.86
Pa 0.000 0.000 0.000  1.21